# 1
Entry from Alexandria via LeMat-Bulk: a geometry-optimized Ca3GaBi3 structure (PBE).

formation energy	-0.64	eV per atom
E_tot	-100.699	eV/cell

The structure in POSCAR format:
```
Ca3GaBi3
1.0
-1.949 1.295 -6.370
8.602 -6.411 -0.320
-7.912 -10.629 0.260
Bi Ca Ga
12 12 4
direct
0.431 0.326 0.633
0.782 0.000 0.121
0.931 0.326 0.867
0.605 0.674 0.867
0.395 0.326 0.133
0.069 0.674 0.133
0.895 0.326 0.367
0.105 0.674 0.633
0.282 0.000 0.379
0.218 0.000 0.879
0.569 0.674 0.367
0.718 0.000 0.621
0.113 0.645 0.879
0.299 0.000 0.134
0.387 0.355 0.379
0.201 0.000 0.634
0.887 0.355 0.121
0.532 0.645 0.121
0.032 0.645 0.379
0.613 0.645 0.621
0.701 0.000 0.866
0.968 0.355 0.621
0.468 0.355 0.879
0.799 0.000 0.366
0.911 0.822 0.000
0.589 0.178 0.500
0.089 0.178 0.000
0.411 0.822 0.500
```

=====

# 2
Entry from Alexandria via LeMat-Bulk: a geometry-optimized CaGa4Bi structure (PBE).

formation energy	-0.19	eV per atom
E_tot	-19.121	eV/cell

The structure in POSCAR format:
```
CaGa4Bi
1.0
5.764 0.000 0.000
2.882 4.992 0.000
2.882 1.664 4.706
Ga Bi Ca
4 1 1
direct
0.625 0.124 0.625
0.625 0.625 0.625
0.124 0.625 0.625
0.625 0.625 0.124
0.250 0.250 0.250
0.000 0.000 0.000
```

=====

# 3
Entry from Alexandria via LeMat-Bulk: a geometry-optimized CaGa3Bi structure (PBE).

formation energy	0.62	eV per atom
E_tot	-11.860	eV/cell
polymorph energy (0 for the lowest one)	236	meV/atom

The structure in POSCAR format:
```
CaGa3Bi
1.0
5.485 0.000 0.000
0.000 5.485 0.000
0.000 0.000 5.485
Bi Ga Ca
1 3 1
direct
0.500 0.500 0.500
0.000 0.500 0.000
0.000 0.000 0.500
0.500 0.000 0.000
0.000 0.000 0.000
```

=====

# 4
Entry from Alexandria via LeMat-Bulk: a geometry-optimized Ca8Ga2Bi structure (PBE).

formation energy	-0.30	eV per atom
E_tot	-29.266	eV/cell

The structure in POSCAR format:
```
Ca8Ga2Bi
1.0
4.960 0.000 -1.510
-1.263 7.305 -4.149
0.123 0.368 9.309
Ca Bi Ga
8 1 2
direct
0.000 0.687 0.000
0.000 0.313 0.000
0.151 0.151 0.302
0.338 0.551 0.676
0.849 0.849 0.698
0.338 0.125 0.676
0.662 0.449 0.324
0.662 0.875 0.324
0.500 0.000 0.000
0.193 0.693 0.385
0.807 0.307 0.615
```